LiTmSO PBE relaxed; ΔE to the lowest computed polymorph = 0.61 eV per formula unit; space group = No. 29
1.0
5.350 0.000 0.000
0.000 9.091 0.000
0.000 0.000 5.350
Li O S Tm
4 4 4 4
direct
0.750 0.000 0.379
0.250 0.000 0.379
0.750 0.000 0.879
0.250 0.000 0.879
0.999 0.091 0.128
0.499 0.909 0.128
0.501 0.091 0.628
0.001 0.909 0.628
0.500 0.360 0.122
0.000 0.640 0.122
0.000 0.360 0.622
0.500 0.640 0.622
0.000 0.309 0.122
0.500 0.691 0.122
0.500 0.309 0.622
0.000 0.691 0.622